Compound: Cd3P2H20C18O10
Source: the Open Quantum Materials Database
Functional: PBE-GGA
Structure: optimized geometry

Structure (extended XYZ):
```
106
Lattice="-2.005 -5.404 0.431 5.923 -2.025 2.159 -6.435 9.340 26.423" Properties=species:S:1:pos:R:3 pbc="T T T"
C 3.403 -5.552 3.574
C 3.554 -4.340 4.472
C -1.966 -2.627 3.754
C 0.208 -3.188 5.612
C 0.349 -4.529 5.996
C 0.345 -2.173 6.566
C 2.626 0.561 6.896
C 0.579 -2.493 7.901
C 0.718 -3.828 8.281
C -0.829 1.347 7.224
C -1.865 0.413 7.176
C -2.893 -2.989 8.552
C 2.965 -1.478 10.185
C -1.999 2.574 8.948
C 2.881 -0.388 11.059
C 0.186 0.717 11.143
C -1.067 0.970 11.980
C -1.018 2.217 12.840
C -1.498 -0.306 16.172
C -1.450 0.941 17.032
C -2.703 1.194 17.869
C -5.398 2.299 17.953
C -0.518 -0.663 20.064
C -5.482 3.389 18.827
C 0.377 4.900 20.460
C -0.652 1.498 21.836
C -1.688 0.564 21.788
C -3.234 5.739 20.731
C -3.095 4.404 21.111
C -5.142 1.350 22.116
C -2.861 4.085 22.446
C -2.866 6.441 23.016
C -2.724 5.099 23.400
C -0.550 4.539 25.258
C -6.071 6.251 24.540
C -5.920 7.463 25.438
Cd 1.959 -3.715 1.295
Cd 1.375 -0.449 1.809
Cd -0.135 -2.495 14.189
Cd -4.220 1.968 13.427
Cd -2.382 4.406 14.823
Cd -3.892 2.360 27.203
H 3.606 -2.044 2.876
H 4.259 -3.644 3.996
H 2.573 -3.842 4.455
H -2.417 -3.575 4.083
H 2.240 0.076 4.830
H 3.612 -3.861 6.593
H 0.279 -1.134 6.249
H 2.744 -0.479 7.196
H 0.031 1.246 6.563
H -1.828 -0.423 6.476
H 0.650 -1.694 8.640
H 0.903 -4.085 9.323
H -2.078 -2.268 8.592
H 2.172 -2.224 10.189
H -0.058 0.126 10.247
H -4.064 -1.972 10.051
H 0.626 1.669 10.809
H -1.939 1.106 11.321
H -1.303 0.114 12.627
H -3.223 -0.606 12.808
H 0.706 2.517 16.203
H -1.214 1.797 16.385
H -0.578 0.805 17.691
H -3.142 0.243 18.203
H 1.547 3.883 18.961
H -2.459 1.785 18.764
H -4.688 4.135 18.823
H -0.439 4.179 20.420
H -3.420 5.996 19.689
H -3.167 3.605 20.372
H -0.689 2.334 22.536
H -2.548 0.665 22.449
H -5.261 2.391 21.816
H -2.795 3.045 22.763
H -6.129 5.772 22.419
H -4.757 1.835 24.182
H -0.099 5.486 24.929
H -5.089 5.753 24.557
H -6.775 5.555 25.016
H -6.123 3.956 26.136
O 3.318 -5.336 2.312
O 3.072 -1.995 2.060
O 3.322 -6.711 4.086
O 0.342 -3.879 3.010
O 0.439 -1.352 3.655
O 0.874 -1.616 12.369
O 1.823 0.619 13.324
O -0.134 3.102 12.621
O -4.047 -0.191 13.129
O -1.924 2.340 13.741
O -0.593 -0.428 15.271
O 1.530 2.102 15.882
O -2.383 -1.191 16.391
O -4.339 1.292 15.688
O -3.391 3.527 16.643
O -2.955 3.263 25.357
O -2.859 5.790 26.002
O -5.839 8.623 24.926
O -5.588 3.906 26.951
O -5.834 7.247 26.699
P -0.161 -2.728 3.908
P 1.415 -0.220 12.094
P -3.932 2.131 16.918
P -2.356 4.640 25.104
```

Computed properties:
- Raw total energy: -6.11 eV/atom